Material: CrSbPb2
Method: DFT, PBE
State: optimized geometry

Cell lengths 15.2753, 3.5088, 4.2534 Å; angles 90.00, 106.02, 90.00 degrees
Space group C2/m (No. 12)
One atom of each set of equivalent atoms:
Cr 0.0000 0.0000 0.0000 x2
Sb 0.0000 0.5000 0.5000 x2
Pb 0.1774 0.5000 0.1785 x4

- calculated volume (Å³ per atom) = 27.4
- E_tot (eV/f.u.) = -20.189



Material: Mg4Si3
Method: DFT, PBE
State: optimized geometry

Cell lengths 10.7911, 10.7911, 7.9395 Å; angles 90.00, 90.00, 120.00 degrees
Space group R-3 (No. 148, hexagonal axes)
One atom of each set of equivalent atoms:
Mg 0.0000 0.0000 0.0000 x3
Mg 0.0000 0.0000 0.5000 x3
Mg 0.0150 0.5728 0.3254 x18
Si 0.0651 0.8456 0.2696 x18

- calculated volume (Å³ per atom) = 19.1
- polymorph energy (0 for the lowest one) (eV per atom) = 0.024



Material: SrPm2Pd2
Method: DFT, PBE
State: optimized geometry

Cell lengths 7.2661, 7.2757, 7.8203 Å; angles 115.07, 92.60, 119.63 degrees
Space group P-1 (No. 2)
One atom of each set of equivalent atoms:
Sr 0.1122 0.3628 0.2488 x2
Pm 0.2475 0.3492 0.7501 x2
Pm 0.4019 0.0054 0.2520 x2
Pd 0.1845 0.8739 0.5288 x2
Pd 0.3465 0.1565 0.9710 x2

- calculated volume (Å³ per atom) = 30.8
- calculated formation energy (eV per formula unit) = -2.6



Material: Tm7Rh2Pb2
Method: DFT, PBE
State: optimized geometry

Cell lengths 8.2031, 10.7198, 7.1313 Å; angles 90.00, 90.00, 90.00 degrees
Space group Cmmm (No. 65)
One atom of each set of equivalent atoms:
Tm 0.0000 0.0000 0.0000 x2
Tm 0.0000 0.5000 0.2296 x4
Tm 0.2500 0.2500 0.2419 x8
Rh 0.0000 0.2835 0.0000 x4
Pb 0.1906 0.0000 0.5000 x4

- calculated volume (Å³ per atom) = 28.5
- calculated formation energy (eV per formula unit) = -4.8



Material: RbSrTeBr
Method: DFT, PBE
State: optimized geometry

Cell lengths 4.7884, 4.7884, 25.2913 Å; angles 90.00, 90.00, 120.00 degrees
Space group R3m (No. 160, hexagonal axes)
One atom of each set of equivalent atoms:
Rb 0.0000 0.0000 0.0000 x3
Sr 0.0000 0.0000 0.1764 x3
Te 0.0000 0.0000 0.5760 x3
Br 0.0000 0.0000 0.7673 x3

- calculated volume (Å³ per atom) = 41.8
- E_tot (eV/f.u.) = -13.991



Material: ErPaZnIn
Method: DFT, PBE
State: optimized geometry

Cell lengths 7.3139, 7.3139, 7.3139 Å; angles 90.00, 90.00, 90.00 degrees
Space group F-43m (No. 216)
One atom of each set of equivalent atoms:
Er 0.0000 0.0000 0.0000 x4
Pa 0.0000 0.0000 0.5000 x4
Zn 0.2500 0.2500 0.2500 x4
In 0.2500 0.2500 0.7500 x4

- calculated volume (Å³ per atom) = 24.5
- calculated formation energy (eV per formula unit) = -0.2



Material: Cs2BPCl6
Method: DFT, PBE
State: optimized geometry

Cell lengths 7.2052, 7.2052, 10.1060 Å; angles 90.00, 90.00, 90.00 degrees
Space group I4/mmm (No. 139)
One atom of each set of equivalent atoms:
Cs 0.0000 0.5000 0.2500 x4
B 0.0000 0.0000 0.0000 x2
P 0.0000 0.0000 0.5000 x2
Cl 0.0000 0.0000 0.2560 x4
Cl 0.2408 0.2408 0.5000 x8

- calculated volume (Å³ per atom) = 26.2
- E_tot (eV/f.u.) = -32.193



Material: Pr3TiTl4Se8
Method: DFT, PBE
State: optimized geometry

Cell lengths 8.4513, 8.4513, 23.2816 Å; angles 90.00, 90.00, 120.00 degrees
Space group R-3m (No. 166, hexagonal axes)
One atom of each set of equivalent atoms:
Pr 0.0000 0.5000 0.0000 x9
Ti 0.0000 0.0000 0.0000 x3
Tl 0.0000 0.0000 0.5000 x3
Tl 0.0000 0.5000 0.5000 x9
Se 0.0000 0.0000 0.2609 x6
Se 0.0280 0.5140 0.7343 x18

- calculated volume (Å³ per atom) = 30.0
- E_tot (eV/f.u.) = -78.683



Material: MgScIrPt2
Method: DFT, PBE
State: optimized geometry

Cell lengths 4.8099, 4.8099, 4.7003 Å; angles 90.00, 90.00, 90.00 degrees
Space group P4/mmm (No. 123)
One atom of each set of equivalent atoms:
Mg 0.0000 0.0000 0.0000 x1
Sc 0.5000 0.5000 0.5000 x1
Ir 0.5000 0.5000 0.0000 x1
Pt 0.0000 0.5000 0.5000 x2

- calculated volume (Å³ per atom) = 21.7
- calculated formation energy (eV per formula unit) = 2.4



Material: Sc2Al2Ni15
Method: DFT, PBE
State: optimized geometry

Cell lengths 8.1722, 8.1722, 12.2322 Å; angles 90.00, 90.00, 120.00 degrees
Space group R-3m (No. 166, hexagonal axes)
One atom of each set of equivalent atoms:
Sc 0.0000 0.0000 0.1483 x6
Al 0.0000 0.0000 0.3955 x6
Ni 0.0000 0.3011 0.5000 x18
Ni 0.0000 0.5000 0.0000 x9
Ni 0.0015 0.5007 0.6531 x18

- calculated volume (Å³ per atom) = 12.4
- calculated formation energy (eV per formula unit) = -5.4



Material: MnCuMo3
Method: DFT, PBE
State: optimized geometry

Cell lengths 4.4328, 4.4328, 4.4328 Å; angles 90.00, 90.00, 90.00 degrees
Space group Pm-3m (No. 221)
One atom of each set of equivalent atoms:
Mn 0.0000 0.0000 0.0000 x1
Cu 0.5000 0.5000 0.5000 x1
Mo 0.0000 0.0000 0.5000 x3

- calculated volume (Å³ per atom) = 17.4
- calculated formation energy (eV per formula unit) = 6.2
- polymorph energy (0 for the lowest one) (eV per atom) = 0.000



Material: CaSc2Os
Method: DFT, PBE
State: optimized geometry

Cell lengths 3.5685, 3.5685, 7.5354 Å; angles 90.00, 90.00, 90.00 degrees
Space group P4mm (No. 99)
One atom of each set of equivalent atoms:
Ca 0.0000 0.0000 0.0000 x1
Sc 0.0000 0.0000 0.4068 x1
Sc 0.5000 0.5000 0.6454 x1
Os 0.5000 0.5000 0.2814 x1

- calculated volume (Å³ per atom) = 24.0
- calculated formation energy (eV per formula unit) = 0.1
- polymorph energy (0 for the lowest one) (eV per atom) = 0.252



Material: RbLiCuF3
Method: DFT, PBE
State: optimized geometry

Cell lengths 11.3830, 6.0357, 6.7623 Å; angles 90.00, 117.96, 90.00 degrees
Space group C2/m (No. 12)
One atom of each set of equivalent atoms:
Rb 0.1928 0.0000 0.1211 x4
Li 0.1055 0.5000 0.2417 x4
Cu 0.0000 0.2280 0.5000 x4
F 0.0142 0.2507 0.2386 x8
F 0.2395 0.0000 0.7574 x4

- calculated volume (Å³ per atom) = 17.1
- E_tot (eV/f.u.) = -25.535



Material: CaBAsBr2
Method: DFT, PBE
State: optimized geometry

Cell lengths 5.3496, 5.3496, 5.7248 Å; angles 90.00, 90.00, 90.00 degrees
Space group P4/mmm (No. 123)
One atom of each set of equivalent atoms:
Ca 0.0000 0.0000 0.0000 x1
B 0.5000 0.5000 0.0000 x1
As 0.0000 0.0000 0.5000 x1
Br 0.0000 0.5000 0.5000 x2

- calculated volume (Å³ per atom) = 32.8
- polymorph energy (0 for the lowest one) (eV per atom) = 0.660



Material: CeHoSc2Tl4
Method: DFT, PBE
State: optimized geometry

Cell lengths 5.2768, 5.2768, 26.0650 Å; angles 90.00, 90.00, 120.00 degrees
Space group R-3m (No. 166, hexagonal axes)
One atom of each set of equivalent atoms:
Ce 0.0000 0.0000 0.0000 x3
Ho 0.0000 0.0000 0.5000 x3
Sc 0.0000 0.0000 0.2495 x6
Tl 0.0000 0.0000 0.1266 x6
Tl 0.0000 0.0000 0.3771 x6

- calculated volume (Å³ per atom) = 26.2
- calculated formation energy (eV per formula unit) = -2.1



Material: Cs2AsRuI6
Method: DFT, PBE
State: optimized geometry

Cell lengths 11.5912, 11.5912, 11.5912 Å; angles 90.00, 90.00, 90.00 degrees
Space group Fm-3m (No. 225)
One atom of each set of equivalent atoms:
Cs 0.2500 0.2500 0.2500 x8
As 0.0000 0.0000 0.0000 x4
Ru 0.0000 0.0000 0.5000 x4
I 0.0000 0.0000 0.2588 x24

- calculated volume (Å³ per atom) = 38.9
- E_tot (eV/f.u.) = -29.923



Material: La3GaH
Method: DFT, PBE
State: optimized geometry

Cell lengths 4.9975, 4.9975, 4.9975 Å; angles 90.00, 90.00, 90.00 degrees
Space group Pm-3m (No. 221)
One atom of each set of equivalent atoms:
La 0.0000 0.0000 0.5000 x3
Ga 0.5000 0.5000 0.5000 x1
H 0.0000 0.0000 0.0000 x1

- calculated volume (Å³ per atom) = 25.0
- polymorph energy (0 for the lowest one) (eV per atom) = 0.000



Material: TaV2H3
Method: DFT, PBE
State: optimized geometry

Cell lengths 4.6536, 3.1743, 7.3872 Å; angles 90.00, 106.82, 90.00 degrees
Space group P2_1/m (No. 11)
One atom of each set of equivalent atoms:
Ta 0.0740 0.2500 0.1664 x2
V 0.2517 0.7500 0.5047 x2
V 0.4203 0.2500 0.8333 x2
H 0.1429 0.2500 0.6082 x2
H 0.3534 0.2500 0.4135 x2
H 0.4254 0.2500 0.0765 x2

- calculated volume (Å³ per atom) = 8.7
- E_tot (eV/f.u.) = -41.120



Material: Na3Er3TcO8
Method: DFT, PBE
State: optimized geometry

Cell lengths 6.6453, 6.6453, 16.6843 Å; angles 90.00, 90.00, 120.00 degrees
Space group R-3m (No. 166, hexagonal axes)
One atom of each set of equivalent atoms:
Na 0.0000 0.5000 0.0000 x9
Er 0.0000 0.5000 0.5000 x9
Tc 0.0000 0.0000 0.5000 x3
O 0.0000 0.0000 0.2360 x6
O 0.0253 0.5126 0.2326 x18

- calculated volume (Å³ per atom) = 14.2
- E_tot (eV/f.u.) = -105.822



Material: Cs4La3SnS8
Method: DFT, PBE
State: optimized geometry

Cell lengths 8.5920, 8.5920, 24.2148 Å; angles 90.00, 90.00, 120.00 degrees
Space group R-3m (No. 166, hexagonal axes)
One atom of each set of equivalent atoms:
Cs 0.0000 0.0000 0.0000 x3
Cs 0.0000 0.5000 0.0000 x9
La 0.0000 0.5000 0.5000 x9
Sn 0.0000 0.0000 0.5000 x3
S 0.0000 0.0000 0.2293 x6
S 0.0092 0.5046 0.2282 x18

- calculated volume (Å³ per atom) = 32.3
- E_tot (eV/f.u.) = -80.366